Record 1
VASP calculation (PBE) on Er5Ga2Pb after structural relaxation.

Summary:
- Raw total energy: -73.454 eV for the cell shown
- Size of the total moment: 0.0 Bohr magnetons per cell
- Mass density: 9.39 Mg/m³
- Symmetry: I4/mcm

```
data_Er5Ga2Pb
_space_group_name_H-M_alt 'P 1'
_space_group_IT_number 1
_cell_length_a 8.7739
_cell_length_b 8.7739
_cell_length_c 8.7739
_cell_angle_alpha 126.88
_cell_angle_beta 126.88
_cell_angle_gamma 78.45
loop_
_space_group_symop_operation_xyz
'x,y,z'
loop_
_atom_site_label
_atom_site_type_symbol
_atom_site_fract_x
_atom_site_fract_y
_atom_site_fract_z
Er1 Er 0.8016 0.3016 0.8176
Er2 Er 0.0160 0.1984 0.5000
Er3 Er 0.5000 0.5000 0.0000
Er4 Er 0.1984 0.6984 0.1824
Er5 Er 0.0000 0.0000 0.0000
Er6 Er 0.6984 0.5160 0.5000
Er7 Er 0.3016 0.4840 0.5000
Er8 Er 0.9840 0.8016 0.5000
Er9 Er 0.4840 0.9840 0.1824
Er10 Er 0.5160 0.0160 0.8176
Ga1 Ga 0.6351 0.8649 0.5000
Ga2 Ga 0.8649 0.3649 0.2298
Ga3 Ga 0.3649 0.1351 0.5000
Ga4 Ga 0.1351 0.6351 0.7702
Pb1 Pb 0.7500 0.7500 0.0000
Pb2 Pb 0.2500 0.2500 0.0000
```

---

Record 2
VASP calculation (PBE) on Tm3ScTe2C2 after structural relaxation.

Summary:
- Raw total energy: -51.468 eV for the cell shown
- Size of the total moment: 0.0 Bohr magnetons per cell
- Mass density: 8.40 Mg/m³
- Symmetry: P3m1

```
data_Tm3ScTe2C2
_space_group_name_H-M_alt 'P 1'
_space_group_IT_number 1
_cell_length_a 3.7258
_cell_length_b 3.7258
_cell_length_c 13.6598
_cell_angle_alpha 90.00
_cell_angle_beta 90.00
_cell_angle_gamma 120.00
loop_
_space_group_symop_operation_xyz
'x,y,z'
loop_
_atom_site_label
_atom_site_type_symbol
_atom_site_fract_x
_atom_site_fract_y
_atom_site_fract_z
Te1 Te 0.0000 0.0000 0.2474
Te2 Te 0.6667 0.3333 0.7581
Tm1 Tm 0.0000 0.0000 0.5963
Tm2 Tm 0.6667 0.3333 0.0860
Tm3 Tm 0.6667 0.3333 0.4086
Sc1 Sc 0.0000 0.0000 0.9070
C1 C 0.3333 0.6667 0.9940
C2 C 0.3333 0.6667 0.5026
```